GdHfAl | PBE | optimized geometry

```
data_GdHfAl
_chemical_formula_sum 'Gd1 Hf1 Al1'
_cell_length_a 3.190
_cell_length_b 3.190
_cell_length_c 7.148
_cell_angle_alpha 102.89
_cell_angle_beta 102.89
_cell_angle_gamma 90.00
_symmetry_space_group_name_H-M 'P 1'
_symmetry_Int_Tables_number 1
_symmetry_space_group_name_Hall 'P 1'
loop_
_atom_site_label
_atom_site_fract_x
_atom_site_fract_y
_atom_site_fract_z
Al1 0.675 0.675 0.351
Hf1 0.316 0.316 0.632
Gd1 0.009 0.009 0.017
```

The value obtained for the density of states at the Fermi level is 3.0 states/eV per cell. The calculation puts the energy above the most stable polymorph in this dataset at 0.00 eV per formula unit. For the total magnetization, the calculation gives 7.320 μB per formula unit. Its total energy is -9.41 eV per atom.



Li5Ag2GeAu2 | PBE | optimized geometry

```
data_Li5Ag2GeAu2
_chemical_formula_sum 'Li10 Ag4 Ge2 Au4'
_cell_length_a 3.512
_cell_length_b 9.882
_cell_length_c 9.882
_cell_angle_alpha 90.00
_cell_angle_beta 90.00
_cell_angle_gamma 90.00
_symmetry_space_group_name_H-M 'P 1'
_symmetry_Int_Tables_number 1
_symmetry_space_group_name_Hall 'P 1'
loop_
_atom_site_label
_atom_site_fract_x
_atom_site_fract_y
_atom_site_fract_z
Li1 0.500 0.601 0.679
Li2 0.500 0.101 0.821
Li3 0.500 0.321 0.601
Li4 0.500 0.821 0.899
Li5 0.500 0.899 0.179
Li6 0.500 0.399 0.321
Li7 0.500 0.500 0.000
Li8 0.500 0.000 0.500
Li9 0.500 0.179 0.101
Li10 0.500 0.679 0.399
Ag1 0.000 0.337 0.837
Ag2 0.000 0.837 0.663
Ag3 0.000 0.663 0.163
Ag4 0.000 0.163 0.337
Au1 0.000 0.869 0.369
Au2 0.000 0.631 0.869
Au3 0.000 0.131 0.631
Au4 0.000 0.369 0.131
Ge1 0.000 0.000 0.000
Ge2 0.000 0.500 0.500
```

The value obtained for the density of states at the Fermi level is 4.0 states/eV per cell. For the total magnetization, the calculation gives 0.000 μB per formula unit. Its total energy is -2.87 eV per atom.